(i)
VASP calculation (PBE) on a geometry-optimized NaCuPt2 structure.

Geometry as extended XYZ:
```
8
Lattice="4.735 0.000 0.000 0.000 4.735 0.000 2.368 2.368 8.574" Properties=species:S:1:pos:R:3 pbc="T T T"
Pt 3.551 2.731 6.430
Pt 5.098 3.551 2.143
Pt 4.372 1.184 2.143
Pt 5.919 2.004 6.430
Cu 4.735 2.368 4.287
Cu 0.000 0.000 0.000
Na 2.368 4.735 4.287
Na 2.368 2.368 0.000
```

Spin magnetization (μB/cell): 0.000

***

(ii)
VASP calculation (PBE) on a geometry-optimized NaCuPt2 structure.

Geometry as extended XYZ:
```
4
Lattice="-3.256 -2.657 1.353 -1.463 0.242 4.159 -4.003 1.664 0.839" Properties=species:S:1:pos:R:3 pbc="T T T"
Cu -4.361 -0.375 3.175
Pt -6.541 -0.563 4.763
Pt -2.180 -0.188 1.588
Na 0.000 0.000 0.000
```

Spin magnetization (μB/cell): 0.000

***

Most stable to least stable: (ii), (i)